*P*
## InAsRhSe2 (GGA-PBE)

Data for a relaxed InAsRhSe2 crystal.

Output
Total magnetization, μB per formula unit: 1.144
Symmetry: No. 123
Crystal system: tetragonal

Cell lengths 5.2012, 5.2012, 5.1492 Å; angles 90.00, 90.00, 90.00 degrees
With the nearest neighbours (Å) after each atom.
Sites, in units of the cell vectors:
In 0.0000 0.0000 0.0000  2 As 2.57, 4 Se 2.60
As 0.0000 0.0000 0.5000  2 In 2.57
Rh 0.5000 0.5000 0.5000  8 Se 3.66, 4 As 3.68
Se 0.0000 0.5000 0.0000  2 In 2.60
Se 0.5000 0.0000 0.0000  2 In 2.60

=====

*Q*
## InAsRhSe2 (GGA-PBE)

Data for a relaxed InAsRhSe2 crystal.

Output
Total magnetization, μB per formula unit: 0.000
Symmetry: No. 123
Crystal system: tetragonal

Cell lengths 5.1655, 5.1655, 4.5664 Å; angles 90.00, 90.00, 90.00 degrees
With the nearest neighbours (Å) after each atom.
Sites, in units of the cell vectors:
In 0.0000 0.0000 0.0000  8 Se 3.45, 4 As 3.65
As 0.5000 0.5000 0.0000  2 Rh 2.28
Rh 0.5000 0.5000 0.5000  2 As 2.28
Se 0.0000 0.5000 0.5000  2 Rh 2.58
Se 0.5000 0.0000 0.5000  2 Rh 2.58

=====

Winner for stability: *Q*

=====

*P*
## InAsRu2 (GGA-PBE)

Data for a relaxed InAsRu2 crystal.

Output
Total magnetization, μB per formula unit: 0.000
Symmetry: No. 123
Crystal system: tetragonal

Cell lengths 4.4432, 4.4432, 3.1774 Å; angles 90.00, 90.00, 90.00 degrees
With the nearest neighbours (Å) after each atom.
Sites, in units of the cell vectors:
In 0.0000 0.0000 0.0000  8 Ru 2.73
As 0.5000 0.5000 0.0000  8 Ru 2.73
Ru 0.0000 0.5000 0.5000  4 As 2.73, 4 In 2.73
Ru 0.5000 0.0000 0.5000  4 As 2.73, 4 In 2.73

=====

*Q*
## InAsRu2 (GGA-PBE)

Data for a relaxed InAsRu2 crystal.

Output
Total magnetization, μB per formula unit: 0.000
Symmetry: No. 6
Crystal system: monoclinic

Cell lengths 3.0443, 4.7343, 4.6454 Å; angles 90.00, 90.11, 90.00 degrees
With the nearest neighbours (Å) after each atom.
Sites, in units of the cell vectors:
In 0.0000 0.0000 0.0000  6 Ru 2.75-2.80, 2 In 3.04
As 0.4996 0.5000 0.2747  4 Ru 2.43-2.60
Ru 0.0009 0.5000 0.6812  2 As 2.43
Ru 0.5003 0.0000 0.5066  2 As 2.60, 4 In 2.75-2.80

=====

*R*
## InAsRu2 (GGA-PBE)

Data for a relaxed InAsRu2 crystal.

Output
Total magnetization, μB per formula unit: 1.403
Symmetry: No. 216
Crystal system: cubic

Cell lengths 6.4363, 6.4363, 6.4363 Å; angles 90.00, 90.00, 90.00 degrees
With the nearest neighbours (Å) after each atom.
Sites, in units of the cell vectors:
In 0.0000 0.0000 0.0000  4 As 2.79, 4 Ru 2.79
In 0.0000 0.5000 0.5000  4 As 2.79, 4 Ru 2.79
In 0.5000 0.0000 0.5000  4 As 2.79, 4 Ru 2.79
In 0.5000 0.5000 0.0000  4 As 2.79, 4 Ru 2.79
As 0.2500 0.2500 0.2500  4 In 2.79, 4 Ru 2.79
As 0.2500 0.7500 0.7500  4 In 2.79, 4 Ru 2.79
As 0.7500 0.2500 0.7500  4 In 2.79, 4 Ru 2.79
As 0.7500 0.7500 0.2500  4 In 2.79, 4 Ru 2.79
Ru 0.0000 0.0000 0.5000  4 As 2.79, 4 Ru 2.79
Ru 0.0000 0.5000 0.0000  4 As 2.79, 4 Ru 2.79
Ru 0.2500 0.2500 0.7500  4 In 2.79, 4 Ru 2.79
Ru 0.2500 0.7500 0.2500  4 In 2.79, 4 Ru 2.79
Ru 0.5000 0.0000 0.0000  4 As 2.79, 4 Ru 2.79
Ru 0.5000 0.5000 0.5000  4 Ru 2.79, 4 As 2.79
Ru 0.7500 0.2500 0.2500  4 In 2.79, 4 Ru 2.79
Ru 0.7500 0.7500 0.7500  4 Ru 2.79, 4 In 2.79

=====

Winner for stability: *P*

=====

*P*
## InAsRu2 (GGA-PBE)

Data for a relaxed InAsRu2 crystal.

Output
Total magnetization, μB per formula unit: 0.587
Symmetry: No. 160
Crystal system: trigonal

Cell lengths 3.0337, 3.0337, 25.6249 Å; angles 90.00, 90.00, 120.00 degrees
With the nearest neighbours (Å) after each atom.
Sites, in units of the cell vectors:
In 0.0000 0.0000 0.0000  3 Ru 2.78, 6 In 3.03, 3 As 3.07
In 0.3333 0.6667 0.6667  3 Ru 2.78, 6 In 3.03, 3 As 3.07
In 0.6667 0.3333 0.3333  3 Ru 2.78, 6 In 3.03, 3 As 3.07
As 0.0000 0.0000 0.2347  3 Ru 2.49
As 0.3333 0.6667 0.9014  3 Ru 2.49
As 0.6667 0.3333 0.5681  3 Ru 2.49
Ru 0.0000 0.0000 0.4993  3 As 2.49, 3 Ru 2.73
Ru 0.0000 0.0000 0.7508  9 Ru 2.73-3.03, 3 In 2.78
Ru 0.3333 0.6667 0.1659  3 As 2.49, 3 Ru 2.73
Ru 0.3333 0.6667 0.4175  9 Ru 2.73-3.03, 3 In 2.78
Ru 0.6667 0.3333 0.0842  9 Ru 2.73-3.03, 3 In 2.78
Ru 0.6667 0.3333 0.8326  3 As 2.49, 3 Ru 2.73

=====

*Q*
## InAsRu2 (GGA-PBE)

Data for a relaxed InAsRu2 crystal.

Output
Total magnetization, μB per formula unit: 0.000
Symmetry: No. 225
Crystal system: cubic

Cell lengths 6.3112, 6.3112, 6.3112 Å; angles 90.00, 90.00, 90.00 degrees
With the nearest neighbours (Å) after each atom.
Sites, in units of the cell vectors:
In 0.0000 0.0000 0.0000  8 Ru 2.73
In 0.0000 0.5000 0.5000  8 Ru 2.73
In 0.5000 0.0000 0.5000  8 Ru 2.73
In 0.5000 0.5000 0.0000  8 Ru 2.73
As 0.0000 0.0000 0.5000  8 Ru 2.73
As 0.0000 0.5000 0.0000  8 Ru 2.73
As 0.5000 0.0000 0.0000  8 Ru 2.73
As 0.5000 0.5000 0.5000  8 Ru 2.73
Ru 0.2500 0.2500 0.2500  4 As 2.73, 4 In 2.73
Ru 0.2500 0.2500 0.7500  4 As 2.73, 4 In 2.73
Ru 0.2500 0.7500 0.2500  4 As 2.73, 4 In 2.73
Ru 0.2500 0.7500 0.7500  4 As 2.73, 4 In 2.73
Ru 0.7500 0.2500 0.2500  4 As 2.73, 4 In 2.73
Ru 0.7500 0.2500 0.7500  4 As 2.73, 4 In 2.73
Ru 0.7500 0.7500 0.2500  4 As 2.73, 4 In 2.73
Ru 0.7500 0.7500 0.7500  4 In 2.73, 4 As 2.73

=====

*R*
## InAsRu2 (GGA-PBE)

Data for a relaxed InAsRu2 crystal.

Output
Total magnetization, μB per formula unit: 0.000
Symmetry: No. 10
Crystal system: monoclinic

Cell lengths 3.0504, 3.8693, 5.7519 Å; angles 90.00, 104.32, 90.00 degrees
With the nearest neighbours (Å) after each atom.
Sites, in units of the cell vectors:
In 0.0000 0.0000 0.0000  8 Ru 2.90-2.91, 2 As 2.90, 2 In 3.05
As 0.5000 0.0000 0.5000  4 Ru 2.42
Ru 0.3659 0.5000 0.7242  2 As 2.42
Ru 0.6341 0.5000 0.2758  2 As 2.42

=====

*S*
## InAsRu2 (GGA-PBE)

Data for a relaxed InAsRu2 crystal.

Output
Total magnetization, μB per formula unit: 0.003
Symmetry: No. 119
Crystal system: tetragonal

Cell lengths 3.7878, 3.7878, 9.0814 Å; angles 90.00, 90.00, 90.00 degrees
With the nearest neighbours (Å) after each atom.
Sites, in units of the cell vectors:
In 0.0000 0.0000 0.0000  8 Ru 2.68-2.96, 4 As 2.96
In 0.5000 0.5000 0.5000  8 Ru 2.68-2.96, 4 As 2.96
As 0.0000 0.5000 0.2500  8 Ru 2.68-2.96, 4 In 2.96
As 0.5000 0.0000 0.7500  8 Ru 2.68-2.96, 4 In 2.96
Ru 0.0000 0.0000 0.5000  4 In 2.68, 4 Ru 2.96, 4 As 2.96
Ru 0.0000 0.5000 0.7500  4 As 2.68, 4 In 2.96, 4 Ru 2.96
Ru 0.5000 0.0000 0.2500  4 As 2.68, 4 Ru 2.96, 4 In 2.96
Ru 0.5000 0.5000 0.0000  4 In 2.68, 4 As 2.96, 4 Ru 2.96

=====

Winner for stability: *Q*

=====

*P*
## InAsRu2 (GGA-PBE)

Data for a relaxed InAsRu2 crystal.

Output
Total magnetization, μB per formula unit: 0.000
Symmetry: No. 122
Crystal system: tetragonal

Cell lengths 7.0466, 7.0466, 5.7475 Å; angles 90.00, 90.00, 90.00 degrees
With the nearest neighbours (Å) after each atom.
Sites, in units of the cell vectors:
In 0.0000 0.0000 0.0000  2 As 2.87, 8 Ru 2.89-3.09
In 0.0000 0.5000 0.2500  2 As 2.87, 8 Ru 2.89-3.09
In 0.5000 0.0000 0.7500  2 As 2.87, 8 Ru 2.89-3.09
In 0.5000 0.5000 0.5000  2 As 2.87, 8 Ru 2.89-3.09
As 0.0000 0.0000 0.5000  4 Ru 2.33
As 0.0000 0.5000 0.7500  4 Ru 2.33
As 0.5000 0.0000 0.2500  4 Ru 2.33
As 0.5000 0.5000 0.0000  4 Ru 2.33
Ru 0.1910 0.2500 0.6250  2 As 2.33
Ru 0.2500 0.6911 0.8750  2 As 2.33
Ru 0.2500 0.8089 0.3750  2 As 2.33
Ru 0.3090 0.2500 0.1250  2 As 2.33
Ru 0.6911 0.7500 0.1250  2 As 2.33
Ru 0.7500 0.1910 0.3750  2 As 2.33
Ru 0.7500 0.3090 0.8750  2 As 2.33
Ru 0.8089 0.7500 0.6250  2 As 2.33

=====

*Q*
## InAsRu2 (GGA-PBE)

Data for a relaxed InAsRu2 crystal.

Output
Total magnetization, μB per formula unit: 0.000
Symmetry: No. 166
Crystal system: trigonal

Cell lengths 3.0755, 3.0755, 23.9111 Å; angles 90.00, 90.00, 120.00 degrees
With the nearest neighbours (Å) after each atom.
Sites, in units of the cell vectors:
In 0.0000 0.0000 0.0000  6 Ru 2.85, 6 In 3.08
In 0.3333 0.6667 0.6667  6 Ru 2.85, 6 In 3.08
In 0.6667 0.3333 0.3333  6 Ru 2.85, 6 In 3.08
As 0.0000 0.0000 0.5000  6 Ru 2.50
As 0.3333 0.6667 0.1667  6 Ru 2.50
As 0.6667 0.3333 0.8333  6 Ru 2.50
Ru 0.0000 0.0000 0.2402  3 As 2.50
Ru 0.0000 0.0000 0.7598  3 As 2.50
Ru 0.3333 0.6667 0.4265  3 As 2.50
Ru 0.3333 0.6667 0.9069  3 As 2.50
Ru 0.6667 0.3333 0.0931  3 As 2.50
Ru 0.6667 0.3333 0.5735  3 As 2.50

=====

*R*
## InAsRu2 (GGA-PBE)

Data for a relaxed InAsRu2 crystal.

Output
Total magnetization, μB per formula unit: 0.000
Symmetry: No. 71
Crystal system: orthorhombic

Cell lengths 3.0942, 5.1378, 8.3971 Å; angles 90.00, 90.00, 90.00 degrees
With the nearest neighbours (Å) after each atom.
Sites, in units of the cell vectors:
In 0.0000 0.0000 0.0000  4 Ru 2.81, 4 As 3.00, 2 In 3.09
In 0.5000 0.5000 0.5000  4 Ru 2.81, 4 As 3.00, 2 In 3.09
As 0.0000 0.0000 0.5000  4 Ru 2.42
As 0.5000 0.5000 0.0000  4 Ru 2.42
Ru 0.0000 0.5000 0.2212  2 As 2.42
Ru 0.0000 0.5000 0.7788  2 As 2.42
Ru 0.5000 0.0000 0.2788  2 As 2.42
Ru 0.5000 0.0000 0.7212  2 As 2.42

=====

*S*
## InAsRu2 (GGA-PBE)

Data for a relaxed InAsRu2 crystal.

Output
Total magnetization, μB per formula unit: 0.000
Symmetry: No. 8
Crystal system: monoclinic

Cell lengths 9.2065, 3.0778, 4.9025 Å; angles 90.00, 106.89, 90.00 degrees
With the nearest neighbours (Å) after each atom.
Sites, in units of the cell vectors:
In 0.0000 0.0000 0.0000  5 Ru 2.63-2.80
In 0.5000 0.5000 0.0000  5 Ru 2.63-2.80
As 0.2429 0.0000 0.5654  5 Ru 2.47-2.59
As 0.7429 0.5000 0.5654  5 Ru 2.47-2.59
Ru 0.0184 0.5000 0.5333  3 As 2.54-2.59, 2 In 2.80
Ru 0.2576 0.5000 0.1798  2 As 2.47, 3 In 2.63-2.75
Ru 0.5184 0.0000 0.5333  3 As 2.54-2.59, 2 In 2.80
Ru 0.7576 0.0000 0.1798  2 As 2.47, 3 In 2.63-2.75

=====

Winner for stability: *Q*

=====

*P*
## In2AsS (GGA-PBE)

Data for a relaxed In2AsS crystal.

Output
Total magnetization, μB per formula unit: 0.000
Symmetry: No. 166
Crystal system: trigonal

Cell lengths 4.0496, 4.0496, 19.4981 Å; angles 90.00, 90.00, 120.00 degrees
With the nearest neighbours (Å) after each atom.
Sites, in units of the cell vectors:
In 0.0000 0.0000 0.2475  3 As 2.82, 3 S 2.88
In 0.0000 0.0000 0.7525  3 As 2.82, 3 S 2.88
In 0.3333 0.6667 0.4192  3 As 2.82, 3 S 2.88
In 0.3333 0.6667 0.9141  3 As 2.82, 3 S 2.88
In 0.6667 0.3333 0.0859  3 As 2.82, 3 S 2.88
In 0.6667 0.3333 0.5808  3 As 2.82, 3 S 2.88
As 0.0000 0.0000 0.5000  6 In 2.82
As 0.3333 0.6667 0.1667  6 In 2.82
As 0.6667 0.3333 0.8333  6 In 2.82
S 0.0000 0.0000 0.0000  6 In 2.88
S 0.3333 0.6667 0.6667  6 In 2.88
S 0.6667 0.3333 0.3333  6 In 2.88

=====

*Q*
## In2AsS (GGA-PBE)

Data for a relaxed In2AsS crystal.

Output
Total magnetization, μB per formula unit: 0.000
Symmetry: No. 225
Crystal system: cubic

Cell lengths 7.0545, 7.0545, 7.0545 Å; angles 90.00, 90.00, 90.00 degrees
With the nearest neighbours (Å) after each atom.
Sites, in units of the cell vectors:
In 0.2500 0.2500 0.2500  4 As 3.05, 4 S 3.05
In 0.2500 0.2500 0.7500  4 S 3.05, 4 As 3.05
In 0.2500 0.7500 0.2500  4 S 3.05, 4 As 3.05
In 0.2500 0.7500 0.7500  4 As 3.05, 4 S 3.05
In 0.7500 0.2500 0.2500  4 S 3.05, 4 As 3.05
In 0.7500 0.2500 0.7500  4 As 3.05, 4 S 3.05
In 0.7500 0.7500 0.2500  4 S 3.05, 4 As 3.05
In 0.7500 0.7500 0.7500  4 S 3.05, 4 As 3.05
As 0.0000 0.0000 0.0000  8 In 3.05
As 0.0000 0.5000 0.5000  8 In 3.05
As 0.5000 0.0000 0.5000  8 In 3.05
As 0.5000 0.5000 0.0000  8 In 3.05
S 0.0000 0.0000 0.5000  8 In 3.05
S 0.0000 0.5000 0.0000  8 In 3.05
S 0.5000 0.0000 0.0000  8 In 3.05
S 0.5000 0.5000 0.5000  8 In 3.05

=====

Winner for stability: *P*